# 1
The following is a GGA-PBE calculation of a relaxed structure of Zr6Sn3Pb, from Alexandria via LeMat-Bulk.

Cell lengths 7.6159, 7.5353, 11.3540 Å; angles 90.00, 131.44, 90.00 degrees
Space group P2_1/c (No. 14)
Unique sites:
Zr1 0.0505 0.1237 0.2514 x4
Zr2 0.2051 0.1553 0.0561 x4
Zr3 0.4044 0.6470 0.0564 x4
Sn1 0.0000 0.0000 0.5000 x2
Sn2 0.3081 0.6714 0.7480 x4
Pb1 0.5000 0.0000 0.0000 x2

## Properties
DFT formation energy = -18 kJ per mole of atoms
N(E_F) = 18.08 states/eV per cell
E_tot = -137.832 eV for the cell shown

# 2
The following is a GGA-PBE calculation of a relaxed structure of BaTcRh, from Alexandria via LeMat-Bulk.

Cell lengths 4.1900, 4.1900, 10.5774 Å; angles 90.00, 90.00, 120.00 degrees
Space group P6_3/mmc (No. 194)
Unique sites:
Ba1 0.0000 0.0000 0.0000 x2
Tc1 0.3333 0.6667 0.2500 x2
Rh1 0.3333 0.6667 0.7500 x2

## Properties
DFT formation energy = 35 kJ per mole of atoms
N(E_F) = 6.27 states/eV per cell
E_tot = -37.124 eV for the cell shown

# 3
The following is a GGA-PBE calculation of a relaxed structure of La3SiNi, from Alexandria via LeMat-Bulk.

Cell lengths 5.3129, 5.3129, 5.3129 Å; angles 90.00, 90.00, 90.00 degrees
Space group Pm-3m (No. 221)
Unique sites:
La1 0.0000 0.0000 0.5000 x3
Si1 0.5000 0.5000 0.5000 x1
Ni1 0.0000 0.0000 0.0000 x1

## Properties
N(E_F) = 6.22 states/eV per cell
ΔE_f (raw) = -11.3 kJ per mole of atoms
E_tot = -26.573 eV for the cell shown

# 4
The following is a GGA-PBE calculation of a relaxed structure of K3Ba, from Alexandria via LeMat-Bulk.

Cell lengths 6.5591, 6.5591, 6.5591 Å; angles 90.00, 90.00, 90.00 degrees
Space group Pm-3m (No. 221)
Unique sites:
K1 0.0000 0.0000 0.5000 x3
Ba1 0.5000 0.5000 0.5000 x1

## Properties
DFT formation energy = 11 kJ per mole of atoms
N(E_F) = 5.39 states/eV per cell
E_tot = -4.769 eV for the cell shown

# 5
The following is a GGA-PBE calculation of a relaxed structure of AcPmNpN3, from Alexandria via LeMat-Bulk.

Cell lengths 7.7602, 3.7498, 8.5723 Å; angles 90.00, 99.58, 90.00 degrees
Space group P2_1/m (No. 11)
Unique sites:
Ac1 0.1757 0.2500 0.1528 x2
Pm1 0.3718 0.7500 0.8434 x2
Np1 0.0595 0.2500 0.5866 x2
N1 0.1083 0.2500 0.8433 x2
N2 0.2087 0.7500 0.5722 x2
N3 0.4007 0.7500 0.1238 x2

## Properties
N(E_F) = 4.63 states/eV per cell
ΔE_f (raw) = -89.8 kJ per mole of atoms
E_tot = -104.716 eV for the cell shown

# 6
The following is a GGA-PBE calculation of a relaxed structure of SrSiCl, from Alexandria via LeMat-Bulk.

Cell lengths 3.6364, 3.6364, 14.0719 Å; angles 90.00, 90.00, 90.00 degrees
Space group I4mm (No. 107)
Unique sites:
Sr1 0.0000 0.0000 0.0000 x2
Si1 0.0000 0.0000 0.3466 x2
Cl1 0.0000 0.0000 0.6048 x2

## Properties
N(E_F) = 2.76 states/eV per cell
ΔE_f (raw) = -51.0 kJ per mole of atoms
E_tot = -21.073 eV for the cell shown